# 1
# SrCdPb2

A PBEsol-optimized structure of SrCdPb2 (SCAN, Alexandria).

Structure (POSCAR):
```
SrCdPb2
1.0
4.910 0.000 0.000
0.000 4.910 0.000
0.000 0.000 4.688
Sr Cd Pb
1 1 2
Cartesian
0.000 0.000 0.000
2.455 2.455 0.000
0.000 2.455 2.344
2.455 0.000 2.344
```

Calculated values
Crystal system ... tetragonal
Spin magnetization ... 0.00 μB per formula unit
Raw total energy ... -51.483 eV per atom
Energy relative to the elements ... -420 meV per atom

# 2
# SrCd4Pb

A PBEsol-optimized structure of SrCd4Pb (SCAN, Alexandria).

Structure (POSCAR):
```
SrCd4Pb
1.0
0.000 4.233 4.233
4.233 0.000 4.233
4.233 4.233 0.000
Sr Cd Pb
1 4 1
Cartesian
0.000 0.000 0.000
3.174 3.174 3.174
5.291 5.291 3.174
5.291 3.174 5.291
3.174 5.291 5.291
6.349 6.349 6.349
```

Calculated values
Crystal system ... cubic
Spin magnetization ... 0.00 μB per formula unit
Raw total energy ... -36.826 eV per atom
Energy relative to the elements ... -207 meV per atom

# 3
# SrCd2Pb

A PBEsol-optimized structure of SrCd2Pb (SCAN, Alexandria).

Structure (POSCAR):
```
SrCd2Pb
1.0
4.717 0.000 0.000
0.000 4.717 0.000
0.000 0.000 4.825
Sr Cd Pb
1 2 1
Cartesian
0.000 0.000 0.000
0.000 2.358 2.413
2.358 0.000 2.413
2.358 2.358 0.000
```

Calculated values
Crystal system ... tetragonal
Spin magnetization ... 0.00 μB per formula unit
Raw total energy ... -40.042 eV per atom
Energy relative to the elements ... -321 meV per atom

# 4
# SrCdPb3

A PBEsol-optimized structure of SrCdPb3 (SCAN, Alexandria).

Structure (POSCAR):
```
SrCdPb3
1.0
5.614 0.000 0.000
0.000 5.614 0.000
0.000 0.000 5.614
Sr Cd Pb
1 1 3
Cartesian
0.000 0.000 0.000
2.807 2.807 2.807
0.000 2.807 2.807
2.807 0.000 2.807
2.807 2.807 0.000
```

Calculated values
Crystal system ... cubic
Spin magnetization ... 0.00 μB per formula unit
Raw total energy ... -56.021 eV per atom
Energy relative to the elements ... -15 meV per atom

# 5
# SrCd2Pb

A PBEsol-optimized structure of SrCd2Pb (SCAN, Alexandria).

Structure (POSCAR):
```
SrCd2Pb
1.0
3.991 0.000 0.000
0.000 3.991 0.000
0.000 0.000 7.019
Sr Cd Pb
1 2 1
Cartesian
0.000 0.000 0.000
1.996 1.996 1.922
1.996 1.996 5.097
0.000 0.000 3.510
```

Calculated values
Crystal system ... tetragonal
Spin magnetization ... 0.00 μB per formula unit
Raw total energy ... -39.988 eV per atom
Energy relative to the elements ... -267 meV per atom

# 6
# SrCd3Pb

A PBEsol-optimized structure of SrCd3Pb (SCAN, Alexandria).

Structure (POSCAR):
```
SrCd3Pb
1.0
5.616 0.000 0.000
0.000 5.616 0.000
0.000 0.000 5.616
Sr Cd Pb
1 3 1
Cartesian
0.000 0.000 0.000
0.000 2.808 2.808
2.808 0.000 2.808
2.808 2.808 0.000
2.808 2.808 2.808
```

Calculated values
Crystal system ... cubic
Spin magnetization ... 0.00 μB per formula unit
Raw total energy ... -37.684 eV per atom
Energy relative to the elements ... 176 meV per atom

# 7
# SrCd2Pb

A PBEsol-optimized structure of SrCd2Pb (SCAN, Alexandria).

Structure (POSCAR):
```
SrCd2Pb
1.0
4.835 0.000 0.000
0.000 4.835 0.000
0.000 0.000 9.249
Sr Cd Pb
2 4 2
Cartesian
0.000 0.000 0.000
2.418 2.418 4.625
0.000 2.418 2.312
0.000 2.418 6.937
2.418 0.000 2.312
2.418 0.000 6.937
0.000 0.000 4.625
2.418 2.418 0.000
```

Calculated values
Crystal system ... tetragonal
Spin magnetization ... 0.00 μB per formula unit
Raw total energy ... -40.044 eV per atom
Energy relative to the elements ... -323 meV per atom

# 8
# TaCdPb

A PBEsol-optimized structure of TaCdPb (SCAN, Alexandria).

Structure (POSCAR):
```
TaCdPb
1.0
6.684 0.000 0.000
0.000 6.684 0.000
0.000 0.000 6.684
Ta Cd Pb
4 4 4
Cartesian
0.000 0.000 0.000
0.000 3.342 3.342
3.342 0.000 3.342
3.342 3.342 0.000
1.671 1.671 1.671
1.671 5.013 5.013
5.013 1.671 5.013
5.013 5.013 1.671
1.671 1.671 5.013
1.671 5.013 1.671
5.013 1.671 1.671
5.013 5.013 5.013
```

Calculated values
Crystal system ... cubic
Spin magnetization ... 1.01 μB per formula unit
Raw total energy ... -56.720 eV per atom
Energy relative to the elements ... 873 meV per atom